ZrAgAu after structural relaxation. Source: Alexandria, functional PBE.

The value obtained for the total moment is 0.00 μB per atom. The volume is 19.827 Å³/atom. The energy comes out at -4.987 eV/atom.

Cell: 3.1019 3.1019 7.1382 Å, 90.00 90.00 120.00°
Last column: nearest neighbours and their distance in Å.
Fractional coordinates of all 3 atoms:
Ag1 0.0000 0.0000 0.0056  3 Au 2.95, 3 Zr 3.04, 6 Ag 3.10
Au1 0.3333 0.6667 0.3332  3 Ag 2.95, 3 Zr 2.95, 6 Au 3.10
Zr1 0.6667 0.3333 0.6612  3 Au 2.95, 3 Ag 3.04, 6 Zr 3.10